Record 1
Density functional theory data (PBE) for an optimized crystal structure of PaSb2Rh.

Summary:
ΔE_f (raw) = 0.06 eV per atom
M_tot = 0.00 μB/f.u.
DFT total energy = -24.8 eV for the cell shown

Cell lengths 10.6020, 10.6020, 10.6020 Å; angles 17.41, 17.41, 17.41 degrees
Last column: nearest neighbours and their distance in Å.
Sites, in units of the cell vectors:
Pa 0.0000 0.0000 0.0000  6 Pa 3.21, 6 Sb 3.25
Sb 0.4187 0.4187 0.4187  1 Rh 2.55
Sb 0.5813 0.5813 0.5813  1 Rh 2.55
Rh 0.5000 0.5000 0.5000  2 Sb 2.55

Record 2
Density functional theory data (PBE) for an optimized crystal structure of Ce3Pm2SmS6.

Summary:
ΔE_f (raw) = -2.04 eV per atom
M_tot = 2.54 μB/f.u.
DFT total energy = -81.3 eV for the cell shown

Cell lengths 6.9716, 6.9716, 6.9857 Å; angles 99.59, 99.59, 120.03 degrees
Last column: nearest neighbours and their distance in Å.
Sites, in units of the cell vectors:
Ce 0.0000 0.0000 0.0000  6 S 2.85-2.86
Ce 0.3329 0.6671 0.0000  6 S 2.85
Ce 0.6671 0.3329 0.0000  6 S 2.85
Pm 0.1666 0.8334 0.5000  6 S 2.85
Pm 0.8334 0.1666 0.5000  6 S 2.85
Sm 0.5000 0.5000 0.5000  6 S 2.84
S 0.0850 0.4171 0.2512  1 Sm 2.84, 2 Pm 2.85, 3 Ce 2.85
S 0.2511 0.2511 0.7494  1 Sm 2.84, 2 Pm 2.85, 3 Ce 2.85-2.86
S 0.4171 0.0850 0.2512  1 Sm 2.84, 2 Pm 2.85, 3 Ce 2.85
S 0.5829 0.9150 0.7488  1 Sm 2.84, 2 Pm 2.85, 3 Ce 2.85
S 0.7489 0.7489 0.2506  1 Sm 2.84, 2 Pm 2.85, 3 Ce 2.85-2.86
S 0.9150 0.5829 0.7488  1 Sm 2.84, 2 Pm 2.85, 3 Ce 2.85

Record 3
Density functional theory data (PBE) for an optimized crystal structure of RbCuF2.

Summary:
ΔE_f (raw) = -1.92 eV per atom
M_tot = 0.00 μB/f.u.
DFT total energy = -16.5 eV for the cell shown

Cell lengths 6.9632, 6.9632, 6.9632 Å; angles 34.36, 34.36, 34.36 degrees
Last column: nearest neighbours and their distance in Å.
Sites, in units of the cell vectors:
Rb 0.0000 0.0000 0.0000  6 F 2.79
Cu 0.5000 0.5000 0.5000  2 F 1.81
F 0.4076 0.4076 0.4076  1 Cu 1.81
F 0.5924 0.5924 0.5924  1 Cu 1.81

Record 4
Density functional theory data (PBE) for an optimized crystal structure of Ho3Sc7Ni4.

Summary:
Energy relative to the elements = -0.24 eV per atom
M_tot = 0.00 μB/f.u.
DFT total energy = -84.5 eV for the cell shown

Cell lengths 9.2468, 9.2468, 11.2968 Å; angles 124.30, 124.30, 22.30 degrees
Last column: nearest neighbours and their distance in Å.
Sites, in units of the cell vectors:
Ho 0.0000 0.0000 0.0000  4 Ni 3.01
Ho 0.3158 0.3158 0.3267  4 Ni 2.96-3.08, 5 Sc 3.26-3.31
Ho 0.6842 0.6842 0.6733  4 Ni 2.96-3.08, 5 Sc 3.26-3.31
Sc 0.0000 0.0000 0.5000  2 Ni 2.97, 4 Sc 3.12, 4 Ho 3.27
Sc 0.1628 0.1628 0.3930  2 Ni 2.54
Sc 0.3145 0.3145 0.9702  4 Ni 2.59-2.75
Sc 0.4943 0.4943 0.2690  2 Ni 2.59
Sc 0.5057 0.5057 0.7310  2 Ni 2.59
Sc 0.6855 0.6855 0.0298  4 Ni 2.59-2.75
Sc 0.8372 0.8372 0.6070  2 Ni 2.54
Ni 0.1301 0.1301 0.8197  5 Sc 2.59-2.75
Ni 0.3494 0.3494 0.7776  3 Sc 2.54-2.59
Ni 0.6506 0.6506 0.2224  3 Sc 2.54-2.59
Ni 0.8699 0.8699 0.1803  5 Sc 2.59-2.75

Record 5
Density functional theory data (PBE) for an optimized crystal structure of Th2ZnIrPb.

Summary:
Energy relative to the elements = -0.56 eV per atom
M_tot = 0.00 μB/f.u.
DFT total energy = -63.0 eV for the cell shown

Cell lengths 7.5694, 4.3282, 8.5917 Å; angles 90.00, 111.80, 90.00 degrees
Last column: nearest neighbours and their distance in Å.
Sites, in units of the cell vectors:
Th 0.0346 0.2500 0.2028  3 Ir 2.92-2.97, 2 Zn 3.15
Th 0.4542 0.7500 0.1628  3 Ir 2.90-2.95, 1 Zn 3.16
Th 0.5458 0.2500 0.8372  3 Ir 2.90-2.95, 1 Zn 3.16
Th 0.9654 0.7500 0.7972  3 Ir 2.92-2.97, 2 Zn 3.15
Zn 0.1100 0.2500 0.6050  1 Ir 2.84, 2 Zn 2.91, 3 Pb 2.95-3.03, 3 Th 3.15-3.16
Zn 0.8900 0.7500 0.3950  1 Ir 2.84, 2 Zn 2.91, 3 Pb 2.95-3.03, 3 Th 3.15-3.16
Ir 0.2293 0.2500 0.9596  1 Zn 2.84, 6 Th 2.90-2.97
Ir 0.7707 0.7500 0.0404  1 Zn 2.84, 6 Th 2.90-2.97
Pb 0.3199 0.7500 0.5159  3 Zn 2.95-3.03
Pb 0.6801 0.2500 0.4841  3 Zn 2.95-3.03

Record 6
Density functional theory data (PBE) for an optimized crystal structure of Th2Al4GePt3.

Summary:
Energy relative to the elements = -0.99 eV per atom
M_tot = 0.00 μB/f.u.
DFT total energy = -62.5 eV for the cell shown

Cell lengths 4.3198, 4.3198, 10.3821 Å; angles 90.00, 90.00, 90.00 degrees
Last column: nearest neighbours and their distance in Å.
Sites, in units of the cell vectors:
Th 0.0000 0.5000 0.2473  6 Pt 3.28-3.40, 8 Al 3.29-3.35, 2 Ge 3.40
Th 0.5000 0.0000 0.7527  6 Pt 3.28-3.40, 8 Al 3.29-3.35, 2 Ge 3.40
Al 0.0000 0.0000 0.0000  4 Pt 2.56
Al 0.0000 0.5000 0.6342  3 Pt 2.43-2.57, 2 Ge 2.57
Al 0.5000 0.0000 0.3658  3 Pt 2.43-2.57, 2 Ge 2.57
Al 0.5000 0.5000 0.0000  4 Pt 2.56
Ge 0.0000 0.0000 0.5000  4 Al 2.57
Pt 0.0000 0.5000 0.8685  5 Al 2.43-2.56
Pt 0.5000 0.0000 0.1315  5 Al 2.43-2.56
Pt 0.5000 0.5000 0.5000  4 Al 2.57

Record 7
Density functional theory data (PBE) for an optimized crystal structure of La7Sm12Sc.

Summary:
Energy relative to the elements = 0.10 eV per atom
M_tot = 0.00 μB/f.u.
DFT total energy = -95.5 eV for the cell shown

Cell lengths 8.9758, 8.9758, 8.9758 Å; angles 99.36, 99.36, 99.36 degrees
Last column: nearest neighbours and their distance in Å.
Sites, in units of the cell vectors:
La 0.0000 0.0000 0.0000  12 Sm 3.54-3.66
La 0.1620 0.5884 0.5884  1 La 3.11, 1 Sc 3.44
La 0.4116 0.4116 0.8380  1 La 3.11, 1 Sc 3.44
La 0.4116 0.8380 0.4116  1 La 3.11, 1 Sc 3.44
La 0.5884 0.1620 0.5884  1 La 3.11, 1 Sc 3.44
La 0.5884 0.5884 0.1620  1 La 3.11, 1 Sc 3.44
La 0.8380 0.4116 0.4116  1 La 3.11, 1 Sc 3.44
Sm 0.0000 0.2583 0.7417  6 Sm 3.50-3.62, 5 La 3.54-3.66
Sm 0.0000 0.7417 0.2583  6 Sm 3.50-3.62, 5 La 3.54-3.66
Sm 0.1475 0.1475 0.4120  6 Sm 3.50-3.62, 1 La 3.66
Sm 0.1475 0.4120 0.1475  6 Sm 3.50-3.62, 1 La 3.66
Sm 0.2583 0.0000 0.7417  6 Sm 3.50-3.62, 5 La 3.54-3.66
Sm 0.2583 0.7417 0.0000  6 Sm 3.50-3.62, 5 La 3.54-3.66
Sm 0.4120 0.1475 0.1475  6 Sm 3.50-3.62, 1 La 3.66
Sm 0.5880 0.8525 0.8525  6 Sm 3.50-3.62, 1 La 3.66
Sm 0.7417 0.0000 0.2583  6 Sm 3.50-3.62, 5 La 3.54-3.66
Sm 0.7417 0.2583 0.0000  6 Sm 3.50-3.62, 5 La 3.54-3.66
Sm 0.8525 0.5880 0.8525  6 Sm 3.50-3.62, 1 La 3.66
Sm 0.8525 0.8525 0.5880  6 Sm 3.50-3.62, 1 La 3.66
Sc 0.5000 0.5000 0.5000  6 La 3.44

Record 8
Density functional theory data (PBE) for an optimized crystal structure of Gd2TmGe.

Summary:
Energy relative to the elements = -0.33 eV per atom
M_tot = 14.82 μB/f.u.
DFT total energy = -38.6 eV for the cell shown

Cell lengths 4.0219, 4.0219, 6.5847 Å; angles 90.00, 90.00, 90.00 degrees
Last column: nearest neighbours and their distance in Å.
Sites, in units of the cell vectors:
Gd 0.0000 0.0000 0.2210  1 Gd 2.91, 4 Ge 3.19
Gd 0.0000 0.0000 0.7790  1 Gd 2.91, 4 Ge 3.19
Tm 0.5000 0.5000 0.5000  2 Ge 3.29, 8 Gd 3.39
Ge 0.5000 0.5000 0.0000  8 Gd 3.19, 2 Tm 3.29

Record 9
Density functional theory data (PBE) for an optimized crystal structure of Li4Cd3Sn2.

Summary:
Energy relative to the elements = -0.27 eV per atom
M_tot = 0.00 μB/f.u.
DFT total energy = -20.9 eV for the cell shown

Cell lengths 5.2793, 5.2793, 9.0427 Å; angles 107.16, 107.16, 49.43 degrees
Last column: nearest neighbours and their distance in Å.
Sites, in units of the cell vectors:
Li 0.0124 0.0124 0.3313  6 Cd 2.96-3.12, 3 Sn 2.98-3.10, 3 Li 3.03-3.14
Li 0.3447 0.3447 0.1163  4 Sn 2.99-3.08, 4 Cd 3.01-3.13, 4 Li 3.03-3.18
Li 0.6553 0.6553 0.8837  4 Sn 2.99-3.08, 4 Cd 3.01-3.13, 4 Li 3.03-3.18
Li 0.9876 0.9876 0.6687  6 Cd 2.96-3.12, 3 Sn 2.98-3.10, 3 Li 3.03-3.14
Cd 0.0000 0.0000 0.0000  8 Li 2.96-3.13, 4 Sn 3.12
Cd 0.3432 0.3432 0.4483  3 Cd 2.84-3.17, 6 Li 3.00-3.12, 3 Sn 3.06-3.07
Cd 0.6568 0.6568 0.5517  3 Cd 2.84-3.17, 6 Li 3.00-3.12, 3 Sn 3.06-3.07
Sn 0.3158 0.3158 0.7772  7 Li 2.98-3.10, 5 Cd 3.06-3.12
Sn 0.6842 0.6842 0.2228  7 Li 2.98-3.10, 5 Cd 3.06-3.12

Record 10
Density functional theory data (PBE) for an optimized crystal structure of CdCI2Cl.

Summary:
ΔE_f (raw) = 1.25 eV per atom
M_tot = 2.11 μB/f.u.
DFT total energy = -8.8 eV for the cell shown

Cell lengths 5.9823, 5.9823, 4.3166 Å; angles 90.00, 90.00, 90.00 degrees
Last column: nearest neighbours and their distance in Å.
Sites, in units of the cell vectors:
Cd 0.0000 0.0000 0.0000  2 C 2.16
C 0.0000 0.0000 0.5000  2 Cd 2.16
I 0.0000 0.5000 0.0000  2 Cd 2.99
I 0.5000 0.0000 0.0000  2 Cd 2.99
Cl 0.5000 0.5000 0.5000  8 I 3.69

Record 11
Density functional theory data (PBE) for an optimized crystal structure of MoPbSe2.

Summary:
ΔE_f (raw) = 0.15 eV per atom
M_tot = 0.00 μB/f.u.
DFT total energy = -20.9 eV for the cell shown

Cell lengths 3.5199, 3.5199, 6.8521 Å; angles 90.00, 90.00, 90.00 degrees
Last column: nearest neighbours and their distance in Å.
Sites, in units of the cell vectors:
Mo 0.0000 0.0000 0.0000  5 Se 2.65-2.67
Pb 0.5000 0.5000 0.3231  5 Se 3.13-3.17, 4 Mo 3.33
Se 0.0000 0.0000 0.6096  1 Mo 2.67
Se 0.5000 0.5000 0.8660  4 Mo 2.65

Record 12
Density functional theory data (PBE) for an optimized crystal structure of Pm4ScTl2.

Summary:
Energy relative to the elements = 0.16 eV per atom
M_tot = 0.00 μB/f.u.
DFT total energy = -29.0 eV for the cell shown

Cell lengths 7.7781, 7.7781, 7.7781 Å; angles 136.07, 136.07, 63.87 degrees
Last column: nearest neighbours and their distance in Å.
Sites, in units of the cell vectors:
Pm 0.0000 0.5000 0.5000  2 Sc 2.91
Pm 0.2500 0.7500 0.5000  2 Pm 3.30, 4 Tl 3.33
Pm 0.5000 0.0000 0.5000  2 Sc 2.91
Pm 0.7500 0.2500 0.5000  2 Pm 3.30, 4 Tl 3.33
Sc 0.0000 0.0000 0.0000  4 Pm 2.91
Tl 0.3733 0.3733 0.0000  8 Pm 3.33-3.36, 1 Tl 3.35
Tl 0.6267 0.6267 0.0000  8 Pm 3.33-3.36, 1 Tl 3.35